[1]
Crystalline Mg2ScCu at its relaxed geometry, computed with PBE.

Space-group type: C2/m
Total energy: -3.55 eV per atom

```
data_Mg2ScCu
_space_group_name_H-M_alt 'P 1'
_space_group_IT_number 1
_cell_length_a 6.3496
_cell_length_b 6.3558
_cell_length_c 8.4601
_cell_angle_alpha 90.00
_cell_angle_beta 111.97
_cell_angle_gamma 90.00
loop_
_space_group_symop_operation_xyz
'x,y,z'
loop_
_atom_site_label
_atom_site_type_symbol
_atom_site_fract_x
_atom_site_fract_y
_atom_site_fract_z
Mg1 Mg 0.1472 0.0000 0.2935
Mg2 Mg 0.2500 0.2500 0.0000
Mg3 Mg 0.2500 0.7500 0.0000
Mg4 Mg 0.3528 0.5000 0.7065
Mg5 Mg 0.6472 0.5000 0.2935
Mg6 Mg 0.7500 0.2500 0.0000
Mg7 Mg 0.7500 0.7500 0.0000
Mg8 Mg 0.8528 0.0000 0.7065
Sc1 Sc 0.1496 0.5000 0.3000
Sc2 Sc 0.3504 0.0000 0.7000
Sc3 Sc 0.6496 0.0000 0.3000
Sc4 Sc 0.8504 0.5000 0.7000
Cu1 Cu 0.0000 0.2487 0.5000
Cu2 Cu 0.0000 0.7513 0.5000
Cu3 Cu 0.5000 0.2513 0.5000
Cu4 Cu 0.5000 0.7487 0.5000
```



[2]
Crystalline Cs2PtIN at its relaxed geometry, computed with PBE.

Space-group type: P4/mmm
Total energy: -4.13 eV per atom
Formation energy without anion corrections: -3.02 eV per formula unit
Energy above the lowest structure with this stoichiometry: 0 meV per atom

```
data_Cs2PtIN
_space_group_name_H-M_alt 'P 1'
_space_group_IT_number 1
_cell_length_a 6.8026
_cell_length_b 6.8026
_cell_length_c 3.7747
_cell_angle_alpha 90.00
_cell_angle_beta 90.00
_cell_angle_gamma 90.00
loop_
_space_group_symop_operation_xyz
'x,y,z'
loop_
_atom_site_label
_atom_site_type_symbol
_atom_site_fract_x
_atom_site_fract_y
_atom_site_fract_z
Cs1 Cs 0.0000 0.5000 0.0000
Cs2 Cs 0.5000 0.0000 0.0000
Pt1 Pt 0.0000 0.0000 0.5000
I1 I 0.5000 0.5000 0.5000
N1 N 0.0000 0.0000 0.0000
```



[3]
Crystalline PaGaO3 at its relaxed geometry, computed with PBE.

Space-group type: Pm-3m
Total energy: -8.11 eV per atom
Formation energy without anion corrections: -13.16 eV per formula unit

```
data_PaGaO3
_space_group_name_H-M_alt 'P 1'
_space_group_IT_number 1
_cell_length_a 4.3700
_cell_length_b 4.3700
_cell_length_c 4.3700
_cell_angle_alpha 90.00
_cell_angle_beta 90.00
_cell_angle_gamma 90.00
loop_
_space_group_symop_operation_xyz
'x,y,z'
loop_
_atom_site_label
_atom_site_type_symbol
_atom_site_fract_x
_atom_site_fract_y
_atom_site_fract_z
Pa1 Pa 0.0000 0.0000 0.0000
Ga1 Ga 0.5000 0.5000 0.5000
O1 O 0.0000 0.0000 0.5000
O2 O 0.0000 0.5000 0.0000
O3 O 0.5000 0.0000 0.0000
```



[4]
Crystalline Pm2Pr2NdDy at its relaxed geometry, computed with PBE.

Space-group type: Pmma
Total energy: -4.68 eV per atom

```
data_Pm2Pr2NdDy
_space_group_name_H-M_alt 'P 1'
_space_group_IT_number 1
_cell_length_a 7.1139
_cell_length_b 5.7922
_cell_length_c 10.0266
_cell_angle_alpha 90.00
_cell_angle_beta 90.00
_cell_angle_gamma 90.00
loop_
_space_group_symop_operation_xyz
'x,y,z'
loop_
_atom_site_label
_atom_site_type_symbol
_atom_site_fract_x
_atom_site_fract_y
_atom_site_fract_z
Pm1 Pm 0.2500 0.0000 0.1647
Pm2 Pm 0.2500 0.5000 0.6684
Pm3 Pm 0.7500 0.0000 0.8353
Pm4 Pm 0.7500 0.5000 0.3316
Pr1 Pr 0.0000 0.5000 0.0000
Pr2 Pr 0.2500 0.0000 0.8288
Pr3 Pr 0.5000 0.5000 0.0000
Pr4 Pr 0.7500 0.0000 0.1712
Nd1 Nd 0.0000 0.0000 0.5000
Nd2 Nd 0.5000 0.0000 0.5000
Dy1 Dy 0.2500 0.5000 0.3363
Dy2 Dy 0.7500 0.5000 0.6637
```



[5]
Crystalline Ho2Tm3ThSe6 at its relaxed geometry, computed with PBE.

Space-group type: C2/m
Total energy: -5.89 eV per atom
Formation energy without anion corrections: -19.82 eV per formula unit

```
data_Ho2Tm3ThSe6
_space_group_name_H-M_alt 'P 1'
_space_group_IT_number 1
_cell_length_a 9.1260
_cell_length_b 9.1260
_cell_length_c 8.1875
_cell_angle_alpha 103.65
_cell_angle_beta 103.65
_cell_angle_gamma 25.56
loop_
_space_group_symop_operation_xyz
'x,y,z'
loop_
_atom_site_label
_atom_site_type_symbol
_atom_site_fract_x
_atom_site_fract_y
_atom_site_fract_z
Ho1 Ho 0.1615 0.1615 0.3253
Ho2 Ho 0.8385 0.8385 0.6747
Tm1 Tm 0.1614 0.1614 0.8333
Tm2 Tm 0.5000 0.5000 0.5000
Tm3 Tm 0.8386 0.8386 0.1667
Th1 Th 0.5000 0.5000 0.0000
Se1 Se 0.0007 0.0007 0.7350
Se2 Se 0.3259 0.3259 0.9165
Se3 Se 0.3316 0.3316 0.4148
Se4 Se 0.6684 0.6684 0.5852
Se5 Se 0.6741 0.6741 0.0835
Se6 Se 0.9993 0.9993 0.2650
```



[6]
Crystalline Li3PrBi2 at its relaxed geometry, computed with PBE.

Space-group type: C2/m
Total energy: -3.67 eV per atom
Energy above the lowest structure with this stoichiometry: 71 meV per atom

```
data_Li3PrBi2
_space_group_name_H-M_alt 'P 1'
_space_group_IT_number 1
_cell_length_a 9.2370
_cell_length_b 9.2370
_cell_length_c 11.0439
_cell_angle_alpha 100.05
_cell_angle_beta 100.05
_cell_angle_gamma 28.39
loop_
_space_group_symop_operation_xyz
'x,y,z'
loop_
_atom_site_label
_atom_site_type_symbol
_atom_site_fract_x
_atom_site_fract_y
_atom_site_fract_z
Li1 Li 0.0000 0.0000 0.0000
Li2 Li 0.1192 0.1192 0.7247
Li3 Li 0.1807 0.1807 0.4867
Li4 Li 0.2916 0.2916 0.0975
Li5 Li 0.4504 0.4504 0.1603
Li6 Li 0.5496 0.5496 0.8397
Li7 Li 0.7084 0.7084 0.9025
Li8 Li 0.8193 0.8193 0.5133
Li9 Li 0.8808 0.8808 0.2753
Pr1 Pr 0.3286 0.3286 0.7809
Pr2 Pr 0.5000 0.5000 0.5000
Pr3 Pr 0.6714 0.6714 0.2191
Bi1 Bi 0.0460 0.0460 0.3020
Bi2 Bi 0.1444 0.1444 0.9891
Bi3 Bi 0.3093 0.3093 0.3576
Bi4 Bi 0.6907 0.6907 0.6424
Bi5 Bi 0.8556 0.8556 0.0109
Bi6 Bi 0.9540 0.9540 0.6980
```



[7]
Crystalline BaFeOs at its relaxed geometry, computed with PBE.

Space-group type: Cmcm
Total energy: -6.80 eV per atom
Energy above the lowest structure with this stoichiometry: 59 meV per atom

```
data_BaFeOs
_space_group_name_H-M_alt 'P 1'
_space_group_IT_number 1
_cell_length_a 4.3767
_cell_length_b 12.0634
_cell_length_c 5.0898
_cell_angle_alpha 90.00
_cell_angle_beta 90.00
_cell_angle_gamma 90.00
loop_
_space_group_symop_operation_xyz
'x,y,z'
loop_
_atom_site_label
_atom_site_type_symbol
_atom_site_fract_x
_atom_site_fract_y
_atom_site_fract_z
Ba1 Ba 0.0000 0.2088 0.2500
Ba2 Ba 0.0000 0.7912 0.7500
Ba3 Ba 0.5000 0.2912 0.7500
Ba4 Ba 0.5000 0.7088 0.2500
Fe1 Fe 0.0000 0.0394 0.7500
Fe2 Fe 0.0000 0.9606 0.2500
Fe3 Fe 0.5000 0.4606 0.2500
Fe4 Fe 0.5000 0.5394 0.7500
Os1 Os 0.0000 0.5000 0.0000
Os2 Os 0.0000 0.5000 0.5000
Os3 Os 0.5000 0.0000 0.0000
Os4 Os 0.5000 0.0000 0.5000
```



[8]
Crystalline SrMnCl at its relaxed geometry, computed with PBE.

Space-group type: F-43m
Total energy: -4.20 eV per atom
Formation energy without anion corrections: 0.10 eV per formula unit

```
data_SrMnCl
_space_group_name_H-M_alt 'P 1'
_space_group_IT_number 1
_cell_length_a 7.4201
_cell_length_b 7.4201
_cell_length_c 7.4201
_cell_angle_alpha 90.00
_cell_angle_beta 90.00
_cell_angle_gamma 90.00
loop_
_space_group_symop_operation_xyz
'x,y,z'
loop_
_atom_site_label
_atom_site_type_symbol
_atom_site_fract_x
_atom_site_fract_y
_atom_site_fract_z
Sr1 Sr 0.0000 0.0000 0.0000
Sr2 Sr 0.0000 0.5000 0.5000
Sr3 Sr 0.5000 0.0000 0.5000
Sr4 Sr 0.5000 0.5000 0.0000
Mn1 Mn 0.2500 0.2500 0.2500
Mn2 Mn 0.2500 0.7500 0.7500
Mn3 Mn 0.7500 0.2500 0.7500
Mn4 Mn 0.7500 0.7500 0.2500
Cl1 Cl 0.2500 0.2500 0.7500
Cl2 Cl 0.2500 0.7500 0.2500
Cl3 Cl 0.7500 0.2500 0.2500
Cl4 Cl 0.7500 0.7500 0.7500
```



[9]
Crystalline InSn2As at its relaxed geometry, computed with PBE.

Space-group type: P4/mmm
Total energy: -3.78 eV per atom
Energy above the lowest structure with this stoichiometry: 53 meV per atom

```
data_InSn2As
_space_group_name_H-M_alt 'P 1'
_space_group_IT_number 1
_cell_length_a 3.7784
_cell_length_b 3.7784
_cell_length_c 7.2932
_cell_angle_alpha 90.00
_cell_angle_beta 90.00
_cell_angle_gamma 90.00
loop_
_space_group_symop_operation_xyz
'x,y,z'
loop_
_atom_site_label
_atom_site_type_symbol
_atom_site_fract_x
_atom_site_fract_y
_atom_site_fract_z
In1 In 0.0000 0.0000 0.0000
Sn1 Sn 0.5000 0.5000 0.2898
Sn2 Sn 0.5000 0.5000 0.7102
As1 As 0.0000 0.0000 0.5000
```



[10]
Crystalline RbPmReO6 at its relaxed geometry, computed with PBE.

Space-group type: P1
Total energy: -7.28 eV per atom
Formation energy without anion corrections: -17.62 eV per formula unit

```
data_RbPmReO6
_space_group_name_H-M_alt 'P 1'
_space_group_IT_number 1
_cell_length_a 5.8645
_cell_length_b 5.9125
_cell_length_c 5.9492
_cell_angle_alpha 60.21
_cell_angle_beta 89.10
_cell_angle_gamma 88.19
loop_
_space_group_symop_operation_xyz
'x,y,z'
loop_
_atom_site_label
_atom_site_type_symbol
_atom_site_fract_x
_atom_site_fract_y
_atom_site_fract_z
Rb1 Rb 0.0000 0.0000 0.0000
Pm1 Pm 0.5000 0.3181 0.3639
Re1 Re 0.4993 0.6799 0.6405
O1 O 0.3002 0.6287 0.4346
O2 O 0.3064 0.9500 0.6242
O3 O 0.3432 0.4241 0.9574
O4 O 0.6553 0.6201 0.9572
O5 O 0.6924 0.4255 0.6254
O6 O 0.6988 0.9366 0.4343
```



[11]
Crystalline Li2TmAu6 at its relaxed geometry, computed with PBE.

Space-group type: C2/c
Total energy: -3.63 eV per atom

```
data_Li2TmAu6
_space_group_name_H-M_alt 'P 1'
_space_group_IT_number 1
_cell_length_a 8.3046
_cell_length_b 8.3046
_cell_length_c 5.0665
_cell_angle_alpha 97.86
_cell_angle_beta 97.86
_cell_angle_gamma 72.05
loop_
_space_group_symop_operation_xyz
'x,y,z'
loop_
_atom_site_label
_atom_site_type_symbol
_atom_site_fract_x
_atom_site_fract_y
_atom_site_fract_z
Li1 Li 0.0461 0.2915 0.0904
Li2 Li 0.2915 0.0461 0.5904
Li3 Li 0.7085 0.9539 0.4096
Li4 Li 0.9539 0.7085 0.9096
Tm1 Tm 0.3686 0.6314 0.7500
Tm2 Tm 0.6314 0.3686 0.2500
Au1 Au 0.0577 0.8253 0.4668
Au2 Au 0.1437 0.4020 0.6532
Au3 Au 0.1747 0.9423 0.0332
Au4 Au 0.2530 0.5112 0.1966
Au5 Au 0.4020 0.1437 0.1532
Au6 Au 0.4888 0.7470 0.3034
Au7 Au 0.5112 0.2530 0.6966
Au8 Au 0.5980 0.8563 0.8468
Au9 Au 0.7470 0.4888 0.8034
Au10 Au 0.8253 0.0577 0.9668
Au11 Au 0.8563 0.5980 0.3468
Au12 Au 0.9423 0.1747 0.5332
```